DFT (GGA+U) results for a relaxed FeCo3F crystal.

## Properties
Excess energy over the best structure of this formula in the dataset (meV/atom): 720
Symmetry: Pm-3m, No. 221

```
FeCo3F
1.0
-0.352 -4.218 -1.313
2.291 -1.301 3.564
-3.778 -0.396 2.284
Co Fe F
3 1 1
Cartesian
1.146 -0.650 1.782
-1.889 -0.198 1.142
-0.176 -2.109 -0.657
0.000 0.000 0.000
-0.919 -2.958 2.267
```